## ReB3Au (GGA-PBE)

Data for an optimized crystal structure of ReB3Au.

a = 4.1161 Å, b = 4.1161 Å, c = 4.1161 Å
α = 90.00°, β = 90.00°, γ = 90.00°
Space group Pm-3m (No. 221)
Inequivalent atoms, fractional coordinates:
Re (0.0000, 0.0000, 0.0000) (multiplicity 1)
B (0.0000, 0.5000, 0.5000) (multiplicity 3)
Au (0.5000, 0.5000, 0.5000) (multiplicity 1)

## Properties
**E above lowest polymorph**: 1.1195 eV per atom
**E_tot**: -23.94 eV for the cell shown
**ΔH_f (0 K)**: 2363 meV/atom